Record 1
This record from Alexandria describes a geometry-optimized Li2MgSc structure. The functional is PBE.

Cell lengths 5.875, 5.875, 5.132 Å; angles 62.80, 62.80, 32.57 degrees
Element x y z (fractional)
Li1 0.976 0.976 0.028
Li2 0.262 0.262 0.233
Mg1 0.520 0.520 0.484
Sc1 0.742 0.742 0.755

Calculated values
**ΔE_f**: 37 kJ/mol of formula units
**Magnetization**: 0.00 μB/f.u.
**Symmetry**: Cm (8)

***

Record 2
This record from Alexandria describes a geometry-optimized Li2MgSc structure. The functional is PBE.

Cell lengths 3.136, 3.136, 10.480 Å; angles 81.31, 81.31, 59.90 degrees
Element x y z (fractional)
Li1 0.082 0.082 0.755
Li2 0.252 0.252 0.246
Mg1 0.667 0.667 0.999
Sc1 0.499 0.499 0.501

Calculated values
**ΔE_f**: 36 kJ/mol of formula units
**Magnetization**: 0.37 μB/f.u.
**Symmetry**: Cm (8)

***

Record 3
This record from Alexandria describes a geometry-optimized LiMgSc structure. The functional is PBE.

Cell lengths 4.940, 4.940, 4.940 Å; angles 60.00, 60.00, 60.00 degrees
Element x y z (fractional)
Li1 0.000 0.000 0.000
Mg1 0.500 0.500 0.500
Sc1 0.750 0.750 0.750

Calculated values
**ΔE_f**: 197 kJ/mol of formula units
**Magnetization**: 0.01 μB/f.u.
**Symmetry**: F-43m (216)

***

Record 4
This record from Alexandria describes a geometry-optimized Li2MgSc structure. The functional is PBE.

Cell lengths 5.387, 5.387, 5.610 Å; angles 82.88, 82.88, 32.79 degrees
Element x y z (fractional)
Li1 0.997 0.997 0.006
Li2 0.503 0.503 0.494
Mg1 0.250 0.250 0.250
Sc1 0.750 0.750 0.750

Calculated values
**ΔE_f**: 32 kJ/mol of formula units
**Magnetization**: 0.00 μB/f.u.
**Symmetry**: C2/m (12)

***

Record 5
This record from Alexandria describes a geometry-optimized Li2MgSc structure. The functional is PBE.

Cell lengths 5.095, 5.095, 3.198 Å; angles 90.00, 90.00, 90.52 degrees
Element x y z (fractional)
Li1 0.000 0.000 0.000
Li2 0.500 0.500 0.000
Mg1 0.500 0.000 0.500
Sc1 0.000 0.500 0.500

Calculated values
**ΔE_f**: 51 kJ/mol of formula units
**Magnetization**: 0.00 μB/f.u.
**Symmetry**: Cmmm (65)

***

Record 6
This record from Alexandria describes a geometry-optimized LiMg4Sc structure. The functional is PBE.

Cell lengths 3.359, 3.359, 11.644 Å; angles 90.00, 90.00, 90.00 degrees
Element x y z (fractional)
Li1 0.500 0.500 0.500
Mg1 0.500 0.500 0.819
Mg2 0.500 0.500 0.181
Mg3 0.000 0.000 0.648
Mg4 0.000 0.000 0.352
Sc1 0.000 0.000 0.000

Calculated values
**ΔE_f**: -26 kJ/mol of formula units
**Magnetization**: 0.36 μB/f.u.
**Symmetry**: P4/mmm (123)

***

Record 7
This record from Alexandria describes a geometry-optimized Li5Mg5Sc structure. The functional is PBE.

Cell lengths 5.211, 5.211, 9.666 Å; angles 90.00, 90.00, 120.00 degrees
Element x y z (fractional)
Li1 0.342 0.171 0.500
Li2 0.000 0.000 0.265
Li3 0.829 0.658 0.500
Li4 0.829 0.171 0.500
Li5 0.000 0.000 0.735
Mg1 0.667 0.333 0.171
Mg2 0.667 0.333 0.829
Mg3 0.333 0.667 0.327
Mg4 0.333 0.667 0.673
Mg5 0.000 0.000 0.000
Sc1 0.333 0.667 0.000

Calculated values
**ΔE_f**: 52 kJ/mol of formula units
**Magnetization**: 0.00 μB/f.u.
**Symmetry**: P-6m2 (187)

***

Record 8
This record from Alexandria describes a geometry-optimized LiMg2Sc structure. The functional is PBE.

Cell lengths 10.429, 10.429, 10.429 Å; angles 17.64, 17.64, 17.64 degrees
Element x y z (fractional)
Sc1 0.250 0.250 0.250
Mg1 0.003 0.003 0.003
Mg2 0.497 0.497 0.497
Li1 0.750 0.750 0.750

Calculated values
**ΔE_f**: 7 kJ/mol of formula units
**Magnetization**: 0.00 μB/f.u.
**Symmetry**: R-3m (166)

***

Record 9
This record from Alexandria describes a geometry-optimized Li2Mg2Sc structure. The functional is PBE.

Cell lengths 3.077, 3.179, 11.546 Å; angles 82.09, 90.00, 90.00 degrees
Element x y z (fractional)
Li1 0.000 0.197 0.605
Li2 0.000 0.803 0.395
Mg1 0.500 0.397 0.205
Mg2 0.500 0.603 0.795
Sc1 0.000 0.000 0.000

Calculated values
**ΔE_f**: 4 kJ/mol of formula units
**Magnetization**: 0.25 μB/f.u.
**Symmetry**: Cmmm (65)

***

Record 10
This record from Alexandria describes a geometry-optimized LiMgSc structure. The functional is PBE.

Cell lengths 6.318, 6.318, 6.318 Å; angles 149.37, 149.37, 43.87 degrees
Element x y z (fractional)
Li1 0.989 0.989 0.000
Mg1 0.346 0.346 0.000
Sc1 0.665 0.665 0.000

Calculated values
**ΔE_f**: 20 kJ/mol of formula units
**Magnetization**: 0.28 μB/f.u.
**Symmetry**: I4mm (107)

***

Record 11
This record from Alexandria describes a geometry-optimized Li2MgSc structure. The functional is PBE.

Cell lengths 5.198, 3.068, 5.503 Å; angles 89.25, 90.00, 90.00 degrees
Element x y z (fractional)
Li1 0.000 0.889 0.045
Li2 0.500 0.367 0.216
Mg1 0.000 0.376 0.534
Sc1 0.500 0.868 0.705

Calculated values
**ΔE_f**: 37 kJ/mol of formula units
**Magnetization**: 0.00 μB/f.u.
**Symmetry**: Pm (6)

***

Record 12
This record from Alexandria describes a geometry-optimized LiMg5Sc structure. The functional is PBE.

Cell lengths 5.388, 5.388, 6.426 Å; angles 90.00, 90.00, 109.09 degrees
Element x y z (fractional)
Li1 0.500 0.500 0.500
Mg1 0.500 0.000 0.248
Mg2 0.000 0.500 0.248
Mg3 0.000 0.000 0.500
Mg4 0.000 0.500 0.752
Mg5 0.500 0.000 0.752
Sc1 0.000 0.000 0.000

Calculated values
**ΔE_f**: 95 kJ/mol of formula units
**Magnetization**: 0.00 μB/f.u.
**Symmetry**: Cmmm (65)